No. 1
Computed, not measured: a relaxed Ca2IrF crystal at the PBE level of DFT.

Calculated values
Total magnetization: 0.0 μB/f.u.
ΔE_f (raw): -1.116 eV/atom
Space group: No. 225

a b c (Å): 4.7858 4.7858 4.7858
angles (deg): 60.00 60.00 60.00
Closest atoms and distances in Å follow each position.
Fractional coordinates of all 4 atoms:
Ca 0.2500 0.2500 0.2500  4 F 2.93, 4 Ir 2.93
F 0.0000 0.0000 0.0000  8 Ca 2.93
Ca 0.7500 0.7500 0.7500  4 F 2.93, 4 Ir 2.93
Ir 0.5000 0.5000 0.5000  8 Ca 2.93



No. 2
Computed, not measured: a relaxed Pu3Co5S12 crystal at the PBE level of DFT.

Calculated values
Total magnetization: 7.9 μB/f.u.
ΔE_f (raw): -0.781 eV/atom
Space group: No. 230

a b c (Å): 12.3541 12.3541 12.3541
angles (deg): 109.47 109.47 109.47
Closest atoms and distances in Å follow each position.
Fractional coordinates of all 80 atoms:
Co 0.1250 0.3750 0.2500  4 S 2.16
Co 0.2500 0.8750 0.1250  4 S 2.16
S 0.8861 0.2972 0.4745  2 Co 2.16-2.28
S 0.5889 0.8861 0.4116  2 Co 2.16-2.28
S 0.3861 0.4116 0.0889  2 Co 2.16-2.28
Co 0.5000 0.0000 0.5000  6 S 2.28
S 0.2028 0.6773 0.0889  2 Co 2.16-2.28
S 0.6773 0.4745 0.5884  2 Co 2.16-2.28
S 0.7028 0.5889 0.1773  2 Co 2.16-2.28
S 0.6139 0.5884 0.9111  2 Co 2.16-2.28
Pu 0.3750 0.6250 0.2500  8 S 2.80-2.81
S 0.9745 0.5884 0.1773  2 Co 2.16-2.28
Pu 0.7500 0.3750 0.1250  8 S 2.80-2.81
Co 0.5000 0.0000 0.0000  6 S 2.28
S 0.8861 0.5889 0.9116  2 Co 2.16-2.28
S 0.4745 0.7972 0.8861  2 Co 2.16-2.28
Co 0.1250 0.7500 0.3750  4 S 2.16
Co 0.7500 0.1250 0.8750  4 S 2.16
Co 0.0000 0.5000 0.5000  6 S 2.28
Pu 0.1250 0.2500 0.8750  8 S 2.80-2.81
S 0.0884 0.9111 0.1139  2 Co 2.16-2.28
Co 0.0000 0.0000 0.5000  6 S 2.28
S 0.4111 0.1139 0.5884  2 Co 2.16-2.28
Co 0.8750 0.2500 0.6250  4 S 2.16
Co 0.5000 0.5000 0.5000  6 S 2.28
S 0.3227 0.7972 0.4111  2 Co 2.16-2.28
S 0.5255 0.2028 0.1139  2 Co 2.16-2.28
S 0.7028 0.1139 0.0255  2 Co 2.16-2.28
S 0.9116 0.8227 0.5255  2 Co 2.16-2.28
S 0.4116 0.3861 0.5889  2 Co 2.16-2.28
Co 0.3750 0.2500 0.1250  4 S 2.16
S 0.8227 0.9116 0.0255  2 Co 2.16-2.28
S 0.0889 0.1773 0.2028  2 Co 2.16-2.28
Pu 0.2500 0.6250 0.8750  8 S 2.80-2.81
S 0.9111 0.0884 0.6139  2 Co 2.16-2.28
S 0.3227 0.5255 0.4116  2 Co 2.16-2.28
S 0.8227 0.9111 0.2972  2 Co 2.16-2.28
Pu 0.2500 0.1250 0.3750  8 S 2.80-2.81
Pu 0.1250 0.8750 0.7500  8 S 2.80-2.81
S 0.2972 0.8861 0.9745  2 Co 2.16-2.28
S 0.2972 0.4111 0.8227  2 Co 2.16-2.28
S 0.9745 0.3861 0.2972  2 Co 2.16-2.28
Co 0.5000 0.5000 0.0000  6 S 2.28
S 0.4111 0.2972 0.3227  2 Co 2.16-2.28
S 0.3861 0.9745 0.7972  2 Co 2.16-2.28
Pu 0.8750 0.7500 0.1250  8 S 2.80-2.81
Pu 0.6250 0.2500 0.3750  8 S 2.80-2.81
S 0.0884 0.1773 0.4745  2 Co 2.16-2.28
S 0.5884 0.6139 0.4111  2 Co 2.16-2.28
Co 0.3750 0.1250 0.7500  4 S 2.16
Co 0.6250 0.8750 0.2500  4 S 2.16
Co 0.0000 0.5000 0.0000  6 S 2.28
S 0.1773 0.0889 0.7028  2 Co 2.16-2.28
Pu 0.3750 0.7500 0.6250  8 S 2.80-2.81
Co 0.6250 0.7500 0.8750  4 S 2.16
S 0.0889 0.9116 0.3861  2 Co 2.16-2.28
S 0.6139 0.0255 0.2028  2 Co 2.16-2.28
Pu 0.8750 0.1250 0.2500  8 S 2.80-2.81
S 0.9116 0.0889 0.8861  2 Co 2.16-2.28
S 0.5889 0.7028 0.6773  2 Co 2.16-2.28
S 0.5884 0.9745 0.6773  2 Co 2.16-2.28
S 0.9111 0.8227 0.7972  2 Co 2.16-2.28
Co 0.2500 0.3750 0.6250  4 S 2.16
S 0.1139 0.4111 0.0884  2 Co 2.16-2.28
Co 0.8750 0.6250 0.7500  4 S 2.16
S 0.1773 0.0884 0.9745  2 Co 2.16-2.28
S 0.0255 0.4116 0.8227  2 Co 2.16-2.28
S 0.4116 0.0255 0.3227  2 Co 2.16-2.28
Co 0.7500 0.6250 0.3750  4 S 2.16
Pu 0.6250 0.3750 0.7500  8 S 2.80-2.81
S 0.0255 0.6139 0.7028  2 Co 2.16-2.28
S 0.5255 0.3227 0.9116  2 Co 2.16-2.28
S 0.7972 0.4745 0.3861  2 Co 2.16-2.28
S 0.4745 0.6773 0.0884  2 Co 2.16-2.28
S 0.6773 0.2028 0.5889  2 Co 2.16-2.28
S 0.1139 0.7028 0.5255  2 Co 2.16-2.28
S 0.2028 0.5255 0.6139  2 Co 2.16-2.28
Pu 0.7500 0.8750 0.6250  8 S 2.80-2.81
S 0.7972 0.3227 0.9111  2 Co 2.16-2.28
Co 0.0000 0.0000 0.0000  6 S 2.28



No. 3
Computed, not measured: a relaxed KTeAu2 crystal at the PBE level of DFT.

Calculated values
Total magnetization: 0.0 μB/f.u.
ΔE_f (raw): -0.008 eV/atom
Space group: No. 12

a b c (Å): 6.1358 6.3248 3.0727
angles (deg): 74.25 93.37 119.95
Closest atoms and distances in Å follow each position.
Fractional coordinates of all 4 atoms:
K 0.0000 0.5000 0.5000  2 K 3.07, 4 Au 3.12, 2 Te 3.35
Au 0.0000 0.0000 0.0000  4 Au 3.07-3.35, 2 Te 3.12, 2 K 3.12
Te 0.5000 0.5000 0.0000  2 Te 3.07, 4 Au 3.12, 2 K 3.35
Au 0.5000 0.0000 0.5000  4 Au 3.07-3.35, 2 K 3.12, 2 Te 3.12